A plane-wave DFT calculation with GGA-PBE was carried out for a relaxed Zn2ReAs crystal.

Cell: 4.744 4.744 4.738 Å, 112.39 112.39 39.36°
Element x y z (fractional)
Zn  0.000  0.000  0.000
Zn  0.246  0.246  0.871
Re  0.496  0.496  0.462
As  0.775  0.775  0.423



A plane-wave DFT calculation with GGA-PBE was carried out for a relaxed Zn2ReAs crystal.

Cell: 2.794 2.794 10.170 Å, 90.00 90.00 117.64°
Element x y z (fractional)
Zn  0.000  0.000  0.000
Zn  0.500  0.500  0.228
Re  0.500  0.500  0.778
As  0.000  0.000  0.573



A plane-wave DFT calculation with GGA-PBE was carried out for a relaxed Zn2ReAs2 crystal.

Cell: 6.373 6.373 4.240 Å, 90.00 90.00 90.00°
Element x y z (fractional)
Zn  0.181  0.319  0.000
Zn  0.319  0.819  0.000
Zn  0.681  0.181  0.000
Zn  0.819  0.681  0.000
Re  0.000  0.000  0.500
Re  0.500  0.500  0.500
As  0.139  0.639  0.500
As  0.361  0.139  0.500
As  0.639  0.861  0.500
As  0.861  0.361  0.500



Respective E_tot values: -4.74 -4.59 -4.53 eV/atom.